(1)
# Rb3HgP2S8, relaxed, DFT GGA-PBE
# space-group type: No. 164
# ΔE_f (raw): -0.53 eV/atom
# DOS(E_F): 9.716 states/eV per cell
# crystal system: trigonal
data_Rb3HgP2S8
_cell_length_a 6.897
_cell_length_b 6.897
_cell_length_c 9.928
_cell_angle_alpha 90.00
_cell_angle_beta 90.00
_cell_angle_gamma 120.00
_symmetry_space_group_name_H-M 'P 1'
_symmetry_Int_Tables_number 1
loop_
_symmetry_equiv_pos_as_xyz
'x,y,z'
loop_
_atom_site_label
_atom_site_fract_x
_atom_site_fract_y
_atom_site_fract_z
Rb1 0.000 0.000 0.000
Rb2 0.333 0.667 0.665
Rb3 0.667 0.333 0.335
Hg1 0.000 0.000 0.500
P1 0.333 0.667 0.243
P2 0.667 0.333 0.757
S1 0.167 0.333 0.297
S2 0.167 0.833 0.297
S3 0.333 0.167 0.703
S4 0.333 0.667 0.041
S5 0.667 0.333 0.959
S6 0.667 0.833 0.297
S7 0.833 0.167 0.703
S8 0.833 0.667 0.703

=====

(2)
# RbIn2SiSb, relaxed, DFT GGA-PBE
# space-group type: No. 123
# ΔE_f (raw): 0.73 eV/atom
# DOS(E_F): 2.832 states/eV per cell
# crystal system: tetragonal
data_RbIn2SiSb
_cell_length_a 5.714
_cell_length_b 5.714
_cell_length_c 6.899
_cell_angle_alpha 90.00
_cell_angle_beta 90.00
_cell_angle_gamma 90.00
_symmetry_space_group_name_H-M 'P 1'
_symmetry_Int_Tables_number 1
loop_
_symmetry_equiv_pos_as_xyz
'x,y,z'
loop_
_atom_site_label
_atom_site_fract_x
_atom_site_fract_y
_atom_site_fract_z
Rb1 0.000 0.000 0.000
In1 0.000 0.500 0.500
In2 0.500 0.000 0.500
Si1 0.500 0.500 0.000
Sb1 0.000 0.000 0.500

=====

(3)
# LaTb5Pb5, relaxed, DFT GGA-PBE
# space-group type: No. 12
# DOS(E_F): 9.010 states/eV per cell
# VASP energy: -4.530 eV/atom
# crystal system: monoclinic
data_LaTb5Pb5
_cell_length_a 8.483
_cell_length_b 8.483
_cell_length_c 7.576
_cell_angle_alpha 101.93
_cell_angle_beta 101.93
_cell_angle_gamma 44.03
_symmetry_space_group_name_H-M 'P 1'
_symmetry_Int_Tables_number 1
loop_
_symmetry_equiv_pos_as_xyz
'x,y,z'
loop_
_atom_site_label
_atom_site_fract_x
_atom_site_fract_y
_atom_site_fract_z
La1 0.000 0.000 0.000
Tb1 0.000 0.000 0.500
Tb2 0.330 0.330 0.153
Tb3 0.347 0.347 0.657
Tb4 0.653 0.653 0.343
Tb5 0.670 0.670 0.847
Pb1 0.170 0.170 0.349
Pb2 0.171 0.171 0.807
Pb3 0.500 0.500 0.000
Pb4 0.829 0.829 0.193
Pb5 0.830 0.830 0.651

=====

(4)
# GdMgNiAg, relaxed, DFT GGA-PBE
# space-group type: No. 216
# DOS(E_F): 10.881 states/eV per cell
# VASP energy: -6.291 eV/atom
# crystal system: cubic
data_GdMgNiAg
_cell_length_a 6.817
_cell_length_b 6.817
_cell_length_c 6.817
_cell_angle_alpha 90.00
_cell_angle_beta 90.00
_cell_angle_gamma 90.00
_symmetry_space_group_name_H-M 'P 1'
_symmetry_Int_Tables_number 1
loop_
_symmetry_equiv_pos_as_xyz
'x,y,z'
loop_
_atom_site_label
_atom_site_fract_x
_atom_site_fract_y
_atom_site_fract_z
Gd1 0.000 0.000 0.000
Gd2 0.000 0.500 0.500
Gd3 0.500 0.000 0.500
Gd4 0.500 0.500 0.000
Mg1 0.000 0.000 0.500
Mg2 0.000 0.500 0.000
Mg3 0.500 0.000 0.000
Mg4 0.500 0.500 0.500
Ni1 0.250 0.250 0.750
Ni2 0.250 0.750 0.250
Ni3 0.750 0.250 0.250
Ni4 0.750 0.750 0.750
Ag1 0.250 0.250 0.250
Ag2 0.250 0.750 0.750
Ag3 0.750 0.250 0.750
Ag4 0.750 0.750 0.250

=====

(5)
# Be3TlAu, relaxed, DFT GGA-PBE
# space-group type: No. 221
# DOS(E_F): 1.835 states/eV per cell
# VASP energy: -2.215 eV/atom
# crystal system: cubic
data_Be3TlAu
_cell_length_a 4.547
_cell_length_b 4.547
_cell_length_c 4.547
_cell_angle_alpha 90.00
_cell_angle_beta 90.00
_cell_angle_gamma 90.00
_symmetry_space_group_name_H-M 'P 1'
_symmetry_Int_Tables_number 1
loop_
_symmetry_equiv_pos_as_xyz
'x,y,z'
loop_
_atom_site_label
_atom_site_fract_x
_atom_site_fract_y
_atom_site_fract_z
Be1 0.000 0.000 0.500
Be2 0.000 0.500 0.000
Be3 0.500 0.000 0.000
Tl1 0.000 0.000 0.000
Au1 0.500 0.500 0.500

=====

(6)
# MnCo6H3, relaxed, DFT GGA-PBE
# space-group type: No. 146
# DOS(E_F): 11.055 states/eV per cell
# VASP energy: -5.972 eV/atom
# crystal system: trigonal
data_MnCo6H3
_cell_length_a 5.050
_cell_length_b 5.050
_cell_length_c 5.050
_cell_angle_alpha 58.95
_cell_angle_beta 58.95
_cell_angle_gamma 58.95
_symmetry_space_group_name_H-M 'P 1'
_symmetry_Int_Tables_number 1
loop_
_symmetry_equiv_pos_as_xyz
'x,y,z'
loop_
_atom_site_label
_atom_site_fract_x
_atom_site_fract_y
_atom_site_fract_z
Mn1 0.000 0.000 0.000
Co1 0.002 0.529 0.476
Co2 0.101 0.493 0.905
Co3 0.476 0.002 0.529
Co4 0.493 0.905 0.101
Co5 0.529 0.476 0.002
Co6 0.905 0.101 0.493
H1 0.255 0.255 0.255
H2 0.588 0.588 0.588
H3 0.760 0.760 0.760

=====

(7)
# SrSiTe2, relaxed, DFT GGA-PBE
# space-group type: No. 122
# ΔE_f (raw): -0.46 eV/atom
# DOS(E_F): 0.000 states/eV per cell
# crystal system: tetragonal
data_SrSiTe2
_cell_length_a 6.743
_cell_length_b 6.743
_cell_length_c 14.819
_cell_angle_alpha 90.00
_cell_angle_beta 90.00
_cell_angle_gamma 90.00
_symmetry_space_group_name_H-M 'P 1'
_symmetry_Int_Tables_number 1
loop_
_symmetry_equiv_pos_as_xyz
'x,y,z'
loop_
_atom_site_label
_atom_site_fract_x
_atom_site_fract_y
_atom_site_fract_z
Sr1 0.000 0.000 0.000
Sr2 0.000 0.500 0.250
Sr3 0.500 0.000 0.750
Sr4 0.500 0.500 0.500
Si1 0.000 0.000 0.500
Si2 0.000 0.500 0.750
Si3 0.500 0.000 0.250
Si4 0.500 0.500 0.000
Te1 0.191 0.250 0.625
Te2 0.250 0.691 0.875
Te3 0.250 0.809 0.375
Te4 0.309 0.250 0.125
Te5 0.691 0.750 0.125
Te6 0.750 0.191 0.375
Te7 0.750 0.309 0.875
Te8 0.809 0.750 0.625

=====

(8)
# Pm3HoRu, relaxed, DFT GGA-PBE
# space-group type: No. 221
# DOS(E_F): 8.723 states/eV per cell
# VASP energy: -5.581 eV/atom
# crystal system: cubic
data_Pm3HoRu
_cell_length_a 5.493
_cell_length_b 5.493
_cell_length_c 5.493
_cell_angle_alpha 90.00
_cell_angle_beta 90.00
_cell_angle_gamma 90.00
_symmetry_space_group_name_H-M 'P 1'
_symmetry_Int_Tables_number 1
loop_
_symmetry_equiv_pos_as_xyz
'x,y,z'
loop_
_atom_site_label
_atom_site_fract_x
_atom_site_fract_y
_atom_site_fract_z
Pm1 0.000 0.000 0.500
Pm2 0.000 0.500 0.000
Pm3 0.500 0.000 0.000
Ho1 0.500 0.500 0.500
Ru1 0.000 0.000 0.000

=====

(9)
# DySnIrPt, relaxed, DFT GGA-PBE
# space-group type: No. 216
# DOS(E_F): 12.697 states/eV per cell
# VASP energy: -6.533 eV/atom
# crystal system: cubic
data_DySnIrPt
_cell_length_a 6.747
_cell_length_b 6.747
_cell_length_c 6.747
_cell_angle_alpha 90.00
_cell_angle_beta 90.00
_cell_angle_gamma 90.00
_symmetry_space_group_name_H-M 'P 1'
_symmetry_Int_Tables_number 1
loop_
_symmetry_equiv_pos_as_xyz
'x,y,z'
loop_
_atom_site_label
_atom_site_fract_x
_atom_site_fract_y
_atom_site_fract_z
Dy1 0.000 0.000 0.000
Dy2 0.000 0.500 0.500
Dy3 0.500 0.000 0.500
Dy4 0.500 0.500 0.000
Sn1 0.000 0.000 0.500
Sn2 0.000 0.500 0.000
Sn3 0.500 0.000 0.000
Sn4 0.500 0.500 0.500
Ir1 0.250 0.250 0.250
Ir2 0.250 0.750 0.750
Ir3 0.750 0.250 0.750
Ir4 0.750 0.750 0.250
Pt1 0.250 0.250 0.750
Pt2 0.250 0.750 0.250
Pt3 0.750 0.250 0.250
Pt4 0.750 0.750 0.750

=====

(10)
# PuPaTc3, relaxed, DFT GGA-PBE
# space-group type: No. 63
# DOS(E_F): 15.813 states/eV per cell
# VASP energy: -10.576 eV/atom
# crystal system: orthorhombic
data_PuPaTc3
_cell_length_a 6.602
_cell_length_b 6.602
_cell_length_c 4.814
_cell_angle_alpha 90.00
_cell_angle_beta 90.00
_cell_angle_gamma 113.18
_symmetry_space_group_name_H-M 'P 1'
_symmetry_Int_Tables_number 1
loop_
_symmetry_equiv_pos_as_xyz
'x,y,z'
loop_
_atom_site_label
_atom_site_fract_x
_atom_site_fract_y
_atom_site_fract_z
Pu1 0.000 0.000 0.000
Pu2 0.000 0.000 0.500
Pa1 0.307 0.693 0.750
Pa2 0.693 0.307 0.250
Tc1 0.235 0.765 0.250
Tc2 0.239 0.363 0.250
Tc3 0.363 0.239 0.750
Tc4 0.637 0.761 0.250
Tc5 0.761 0.637 0.750
Tc6 0.765 0.235 0.750

=====

(11)
# Cu3Pd3Se8, relaxed, DFT GGA-PBE
# space-group type: No. 166
# ΔE_f (raw): -0.21 eV/atom
# DOS(E_F): 9.824 states/eV per cell
# crystal system: trigonal
data_Cu3Pd3Se8
_cell_length_a 7.368
_cell_length_b 7.368
_cell_length_c 7.368
_cell_angle_alpha 61.13
_cell_angle_beta 61.13
_cell_angle_gamma 61.13
_symmetry_space_group_name_H-M 'P 1'
_symmetry_Int_Tables_number 1
loop_
_symmetry_equiv_pos_as_xyz
'x,y,z'
loop_
_atom_site_label
_atom_site_fract_x
_atom_site_fract_y
_atom_site_fract_z
Cu1 0.000 0.000 0.000
Cu2 0.381 0.381 0.381
Cu3 0.619 0.619 0.619
Pd1 0.000 0.000 0.500
Pd2 0.000 0.500 0.000
Pd3 0.500 0.000 0.000
Se1 0.223 0.760 0.760
Se2 0.240 0.240 0.777
Se3 0.240 0.777 0.240
Se4 0.243 0.243 0.243
Se5 0.757 0.757 0.757
Se6 0.760 0.223 0.760
Se7 0.760 0.760 0.223
Se8 0.777 0.240 0.240

=====

(12)
# RbAg3Ge, relaxed, DFT GGA-PBE
# space-group type: No. 221
# DOS(E_F): 3.739 states/eV per cell
# VASP energy: -1.391 eV/atom
# crystal system: cubic
data_RbAg3Ge
_cell_length_a 5.664
_cell_length_b 5.664
_cell_length_c 5.664
_cell_angle_alpha 90.00
_cell_angle_beta 90.00
_cell_angle_gamma 90.00
_symmetry_space_group_name_H-M 'P 1'
_symmetry_Int_Tables_number 1
loop_
_symmetry_equiv_pos_as_xyz
'x,y,z'
loop_
_atom_site_label
_atom_site_fract_x
_atom_site_fract_y
_atom_site_fract_z
Rb1 0.000 0.000 0.000
Ag1 0.000 0.000 0.500
Ag2 0.000 0.500 0.000
Ag3 0.500 0.000 0.000
Ge1 0.500 0.500 0.500

=====

(13)
# Sm2Y2Co2Cl, relaxed, DFT GGA-PBE
# space-group type: No. 12
# ΔE_f (raw): -0.48 eV/atom
# DOS(E_F): 12.946 states/eV per cell
# crystal system: monoclinic
data_Sm2Y2Co2Cl
_cell_length_a 13.543
_cell_length_b 3.695
_cell_length_c 8.503
_cell_angle_alpha 90.00
_cell_angle_beta 121.60
_cell_angle_gamma 90.00
_symmetry_space_group_name_H-M 'P 1'
_symmetry_Int_Tables_number 1
loop_
_symmetry_equiv_pos_as_xyz
'x,y,z'
loop_
_atom_site_label
_atom_site_fract_x
_atom_site_fract_y
_atom_site_fract_z
Sm1 0.031 0.000 0.231
Sm2 0.469 0.500 0.769
Sm3 0.531 0.500 0.231
Sm4 0.969 0.000 0.769
Y1 0.229 0.500 0.817
Y2 0.271 0.000 0.183
Y3 0.729 0.000 0.817
Y4 0.771 0.500 0.183
Co1 0.101 0.500 0.023
Co2 0.399 0.000 0.977
Co3 0.601 0.000 0.023
Co4 0.899 0.500 0.977
Cl1 0.000 0.500 0.500
Cl2 0.500 0.000 0.500

=====

(14)
# TePI2, relaxed, DFT GGA-PBE
# space-group type: No. 225
# ΔE_f (raw): 0.87 eV/atom
# DOS(E_F): 15.200 states/eV per cell
# crystal system: cubic
data_TePI2
_cell_length_a 7.622
_cell_length_b 7.622
_cell_length_c 7.622
_cell_angle_alpha 90.00
_cell_angle_beta 90.00
_cell_angle_gamma 90.00
_symmetry_space_group_name_H-M 'P 1'
_symmetry_Int_Tables_number 1
loop_
_symmetry_equiv_pos_as_xyz
'x,y,z'
loop_
_atom_site_label
_atom_site_fract_x
_atom_site_fract_y
_atom_site_fract_z
Te1 0.000 0.000 0.000
Te2 0.000 0.500 0.500
Te3 0.500 0.000 0.500
Te4 0.500 0.500 0.000
P1 0.000 0.000 0.500
P2 0.000 0.500 0.000
P3 0.500 0.000 0.000
P4 0.500 0.500 0.500
I1 0.250 0.250 0.250
I2 0.250 0.250 0.750
I3 0.250 0.750 0.250
I4 0.250 0.750 0.750
I5 0.750 0.250 0.250
I6 0.750 0.250 0.750
I7 0.750 0.750 0.250
I8 0.750 0.750 0.750

=====

(15)
# InGaIr, relaxed, DFT GGA-PBE
# space-group type: No. 216
# DOS(E_F): 9.430 states/eV per cell
# VASP energy: -5.077 eV/atom
# crystal system: cubic
data_InGaIr
_cell_length_a 6.199
_cell_length_b 6.199
_cell_length_c 6.199
_cell_angle_alpha 90.00
_cell_angle_beta 90.00
_cell_angle_gamma 90.00
_symmetry_space_group_name_H-M 'P 1'
_symmetry_Int_Tables_number 1
loop_
_symmetry_equiv_pos_as_xyz
'x,y,z'
loop_
_atom_site_label
_atom_site_fract_x
_atom_site_fract_y
_atom_site_fract_z
In1 0.000 0.000 0.000
In2 0.000 0.500 0.500
In3 0.500 0.000 0.500
In4 0.500 0.500 0.000
Ga1 0.000 0.000 0.500
Ga2 0.000 0.500 0.000
Ga3 0.500 0.000 0.000
Ga4 0.500 0.500 0.500
Ir1 0.250 0.250 0.750
Ir2 0.250 0.750 0.250
Ir3 0.750 0.250 0.250
Ir4 0.750 0.750 0.750

=====

(16)
# Pm3Nd3Er2, relaxed, DFT GGA-PBE
# space-group type: No. 12
# DOS(E_F): 26.165 states/eV per cell
# VASP energy: -4.637 eV/atom
# crystal system: monoclinic
data_Pm3Nd3Er2
_cell_length_a 16.636
_cell_length_b 5.800
_cell_length_c 6.048
_cell_angle_alpha 90.00
_cell_angle_beta 111.19
_cell_angle_gamma 90.00
_symmetry_space_group_name_H-M 'P 1'
_symmetry_Int_Tables_number 1
loop_
_symmetry_equiv_pos_as_xyz
'x,y,z'
loop_
_atom_site_label
_atom_site_fract_x
_atom_site_fract_y
_atom_site_fract_z
Pm1 0.000 0.000 0.000
Pm2 0.135 0.000 0.579
Pm3 0.365 0.500 0.421
Pm4 0.500 0.500 0.000
Pm5 0.635 0.500 0.579
Pm6 0.865 0.000 0.421
Nd1 0.000 0.500 0.500
Nd2 0.135 0.500 0.191
Nd3 0.365 0.000 0.809
Nd4 0.500 0.000 0.500
Nd5 0.635 0.000 0.191
Nd6 0.865 0.500 0.809
Er1 0.250 0.000 0.182
Er2 0.250 0.500 0.818
Er3 0.750 0.000 0.818
Er4 0.750 0.500 0.182

=====

(17)
# KSrHgCl5, relaxed, DFT GGA-PBE
# space-group type: No. 15
# ΔE_f (raw): -1.63 eV/atom
# DOS(E_F): 0.000 states/eV per cell
# crystal system: monoclinic
data_KSrHgCl5
_cell_length_a 7.835
_cell_length_b 7.835
_cell_length_c 10.353
_cell_angle_alpha 103.74
_cell_angle_beta 103.74
_cell_angle_gamma 106.73
_symmetry_space_group_name_H-M 'P 1'
_symmetry_Int_Tables_number 1
loop_
_symmetry_equiv_pos_as_xyz
'x,y,z'
loop_
_atom_site_label
_atom_site_fract_x
_atom_site_fract_y
_atom_site_fract_z
K1 0.159 0.841 0.750
K2 0.841 0.159 0.250
Sr1 0.500 0.500 0.000
Sr2 0.500 0.500 0.500
Hg1 0.180 0.820 0.250
Hg2 0.820 0.180 0.750
Cl1 0.122 0.222 0.939
Cl2 0.164 0.580 0.378
Cl3 0.222 0.122 0.439
Cl4 0.407 0.593 0.750
Cl5 0.420 0.836 0.122
Cl6 0.580 0.164 0.878
Cl7 0.593 0.407 0.250
Cl8 0.778 0.878 0.561
Cl9 0.836 0.420 0.622
Cl10 0.878 0.778 0.061

=====

(18)
# KY2Mn, relaxed, DFT GGA-PBE
# space-group type: No. 99
# DOS(E_F): 5.910 states/eV per cell
# VASP energy: -5.344 eV/atom
# crystal system: tetragonal
data_KY2Mn
_cell_length_a 3.914
_cell_length_b 3.914
_cell_length_c 9.170
_cell_angle_alpha 90.00
_cell_angle_beta 90.00
_cell_angle_gamma 90.00
_symmetry_space_group_name_H-M 'P 1'
_symmetry_Int_Tables_number 1
loop_
_symmetry_equiv_pos_as_xyz
'x,y,z'
loop_
_atom_site_label
_atom_site_fract_x
_atom_site_fract_y
_atom_site_fract_z
K1 0.000 0.000 0.000
Y1 0.000 0.000 0.410
Y2 0.500 0.500 0.637
Mn1 0.500 0.500 0.303

=====

(19)
# Cr2HgRu, relaxed, DFT GGA-PBE
# space-group type: No. 123
# DOS(E_F): 3.934 states/eV per cell
# VASP energy: -6.759 eV/atom
# crystal system: tetragonal
data_Cr2HgRu
_cell_length_a 2.761
_cell_length_b 2.761
_cell_length_c 7.677
_cell_angle_alpha 90.00
_cell_angle_beta 90.00
_cell_angle_gamma 90.00
_symmetry_space_group_name_H-M 'P 1'
_symmetry_Int_Tables_number 1
loop_
_symmetry_equiv_pos_as_xyz
'x,y,z'
loop_
_atom_site_label
_atom_site_fract_x
_atom_site_fract_y
_atom_site_fract_z
Cr1 0.000 0.000 0.220
Cr2 0.000 0.000 0.780
Hg1 0.500 0.500 0.500
Ru1 0.500 0.500 0.000

=====

(20)
# RbZnHg2Au, relaxed, DFT GGA-PBE
# space-group type: No. 123
# DOS(E_F): 2.176 states/eV per cell
# VASP energy: -1.343 eV/atom
# crystal system: tetragonal
data_RbZnHg2Au
_cell_length_a 5.573
_cell_length_b 5.573
_cell_length_c 5.047
_cell_angle_alpha 90.00
_cell_angle_beta 90.00
_cell_angle_gamma 90.00
_symmetry_space_group_name_H-M 'P 1'
_symmetry_Int_Tables_number 1
loop_
_symmetry_equiv_pos_as_xyz
'x,y,z'
loop_
_atom_site_label
_atom_site_fract_x
_atom_site_fract_y
_atom_site_fract_z
Rb1 0.000 0.000 0.000
Zn1 0.500 0.500 0.000
Hg1 0.000 0.500 0.500
Hg2 0.500 0.000 0.500
Au1 0.500 0.500 0.500